(1)
A relaxed Bi2As2Au crystal, computed with PBE.

Results
For the density of states at the Fermi level, the calculation gives 0.4949 states/eV per atom. The calculation puts the calculated total energy at -19.59 eV per cell. The distance to the lowest polymorph of the same formula is 0.041 eV/atom. The value obtained for the size of the total moment is 0.00 μB per cell. The formation enthalpy at 0 K is 0.75 eV/f.u.

Geometry as POSCAR:
```
Bi2As2Au
1.0
-1.885 1.885 8.817
1.885 -1.885 8.817
1.885 1.885 -8.817
Bi As Au
2 2 1
direct
0.094 0.094 0.000
0.906 0.906 0.000
0.250 0.750 0.500
0.750 0.250 0.500
0.500 0.500 0.000
```


(2)
A relaxed Bi2As2Au crystal, computed with PBE.

Results
For the density of states at the Fermi level, the calculation gives 0.5608 states/eV per atom. The calculation puts the calculated total energy at -19.79 eV per cell. The distance to the lowest polymorph of the same formula is 0.000 eV/atom. The value obtained for the size of the total moment is 0.00 μB per cell. The formation enthalpy at 0 K is 0.55 eV/f.u.

Geometry as POSCAR:
```
Bi2As2Au
1.0
-2.925 2.925 3.907
2.925 -2.925 3.907
2.925 2.925 -3.907
Bi As Au
2 2 1
direct
0.250 0.750 0.500
0.750 0.250 0.500
0.173 0.173 0.000
0.827 0.827 0.000
0.500 0.500 0.000
```


(3)
A relaxed BiAs2Au2 crystal, computed with PBE.

Results
For the density of states at the Fermi level, the calculation gives 0.6100 states/eV per atom. The calculation puts the calculated total energy at -18.98 eV per cell. The distance to the lowest polymorph of the same formula is 0.000 eV/atom. The value obtained for the size of the total moment is 0.00 μB per cell. The formation enthalpy at 0 K is 0.76 eV/f.u.

Geometry as POSCAR:
```
BiAs2Au2
1.0
-2.105 2.105 6.274
2.105 -2.105 6.274
2.105 2.105 -6.274
Bi As Au
1 2 2
direct
0.000 0.000 0.000
0.250 0.750 0.500
0.750 0.250 0.500
0.392 0.392 0.000
0.608 0.608 0.000
```


(4)
A relaxed Bi2As2Au crystal, computed with PBE.

Results
For the density of states at the Fermi level, the calculation gives 0.6021 states/eV per atom. The calculation puts the calculated total energy at -37.88 eV per cell. The distance to the lowest polymorph of the same formula is 0.171 eV/atom. The value obtained for the size of the total moment is 0.00 μB per cell. The formation enthalpy at 0 K is 1.40 eV/f.u.

Geometry as POSCAR:
```
Bi2As2Au
1.0
8.264 0.000 0.000
0.000 8.264 0.000
0.000 0.000 4.082
Bi As Au
4 4 2
direct
0.222 0.278 0.000
0.278 0.778 0.000
0.722 0.222 0.000
0.778 0.722 0.000
0.110 0.610 0.500
0.390 0.110 0.500
0.610 0.890 0.500
0.890 0.390 0.500
0.000 0.000 0.000
0.500 0.500 0.000
```


What did the fourth record say?
A relaxed Bi2As2Au crystal, computed with PBE.

Results
For the density of states at the Fermi level, the calculation gives 0.6021 states/eV per atom. The calculation puts the calculated total energy at -37.88 eV per cell. The distance to the lowest polymorph of the same formula is 0.171 eV/atom. The value obtained for the size of the total moment is 0.00 μB per cell. The formation enthalpy at 0 K is 1.40 eV/f.u.

Geometry as POSCAR:
```
Bi2As2Au
1.0
8.264 0.000 0.000
0.000 8.264 0.000
0.000 0.000 4.082
Bi As Au
4 4 2
direct
0.222 0.278 0.000
0.278 0.778 0.000
0.722 0.222 0.000
0.778 0.722 0.000
0.110 0.610 0.500
0.390 0.110 0.500
0.610 0.890 0.500
0.890 0.390 0.500
0.000 0.000 0.000
0.500 0.500 0.000
```